Entry 1:
TbScB12: optimized geometry, PBE.

The space group is P4/mmm (No. 123) and the conventional cell measures 4.0871, 4.0871 and 8.1725 Å, with angles of 90.00, 90.00 and 90.00 degrees. The asymmetric unit holds Tb at (0.0000, 0.0000, 0.0000), Sc at (0.0000, 0.0000, 0.5000), B at (0.1989, 0.5000, 0.2510), B at (0.5000, 0.5000, 0.0999) and B at (0.5000, 0.5000, 0.4011).

As for the volume: 137 Å³/cell. The value obtained for the calculated formation energy is -312 meV/atom. As for the total moment: 0.000 μB per atom. The density of states at the Fermi level comes out at 0.139 states/eV per atom.


Entry 2:
HgSbAu: optimized geometry, PBE.

The space group is Pm (No. 6) and the conventional cell measures 4.0162, 4.8808 and 4.1920 Å, with angles of 90.00, 93.44 and 90.00 degrees. The asymmetric unit holds Hg at (0.0000, 0.0000, 0.0000), Sb at (0.7180, 0.5000, 0.2693) and Au at (0.2540, 0.5000, 0.7335).

As for the volume: 82 Å³/cell. As for the total moment: 0.000 μB per atom. The calculation puts the formation energy from raw total energies at 0.0965 eV per atom. The density of states at the Fermi level comes out at 0.430 states/eV per atom.


Entry 3:
LuPuNiAu: optimized geometry, PBE.

The space group is F-43m (No. 216) and the conventional cell measures 6.9733, 6.9733 and 6.9733 Å, with angles of 90.00, 90.00 and 90.00 degrees. The asymmetric unit holds Lu at (0.0000, 0.0000, 0.0000), Pu at (0.0000, 0.0000, 0.5000), Ni at (0.2500, 0.2500, 0.2500) and Au at (0.2500, 0.2500, 0.7500).

As for the volume: 339 Å³/cell. The value obtained for the calculated formation energy is -348 meV/atom. As for the total moment: 1.362 μB per atom. The density of states at the Fermi level comes out at 3.291 states/eV per atom.


Entry 4:
Er6GaP2Se3: optimized geometry, PBE.

The space group is C2/m (No. 12) and the conventional cell measures 17.6946, 3.9772 and 8.1948 Å, with angles of 90.00, 103.92 and 90.00 degrees. The asymmetric unit holds Er at (0.0039, 0.0000, 0.2477), Er at (0.1640, 0.5000, 0.0957), Er at (0.1722, 0.5000, 0.5714), Ga at (0.0000, 0.5000, 0.0000), P at (0.1675, 0.0000, 0.3357), Se at (0.0000, 0.5000, 0.5000) and Se at (0.1682, 0.0000, 0.8313).

As for the volume: 560 Å³/cell. As for the total moment: 0.000 μB per atom. The calculation puts the formation energy from raw total energies at -1.5467 eV per atom. The density of states at the Fermi level comes out at 0.242 states/eV per atom.


Entry 5:
SrY2Sc: optimized geometry, PBE.

The space group is Imm2 (No. 44) and the conventional cell measures 3.8584, 5.9009 and 11.8742 Å, with angles of 90.00, 90.00 and 90.00 degrees. The asymmetric unit holds Sr at (0.0000, 0.0000, 0.0000), Y at (0.0000, 0.0000, 0.4632), Y at (0.0000, 0.5000, 0.2193) and Sc at (0.0000, 0.5000, 0.7440).

As for the volume: 270 Å³/cell. The value obtained for the calculated formation energy is 255 meV/atom. As for the total moment: 0.028 μB per atom. The density of states at the Fermi level comes out at 1.896 states/eV per atom.


Entry 6:
Pu2Tc2N7: optimized geometry, PBE.

The space group is C2/m (No. 12) and the conventional cell measures 6.7561, 9.6415 and 5.1906 Å, with angles of 90.00, 100.47 and 90.00 degrees. The asymmetric unit holds Pu at (0.0000, 0.1821, 0.0000), Tc at (0.2420, 0.5000, 0.3918), N at (0.0000, 0.5000, 0.5000), N at (0.0830, 0.0000, 0.2703) and N at (0.2288, 0.3363, 0.2033).

As for the volume: 332 Å³/cell. As for the total moment: 0.770 μB per atom. The calculation puts the formation energy from raw total energies at -0.3619 eV per atom. The density of states at the Fermi level comes out at 1.172 states/eV per atom.


Entry 7:
Re2Ag2F: optimized geometry, PBE.

The space group is P4/mbm (No. 127) and the conventional cell measures 5.9612, 5.9612 and 4.6239 Å, with angles of 90.00, 90.00 and 90.00 degrees. The asymmetric unit holds Re at (0.1331, 0.3669, 0.0000), Ag at (0.1737, 0.6737, 0.5000) and F at (0.0000, 0.0000, 0.0000).

As for the volume: 164 Å³/cell. As for the total moment: 0.000 μB per atom. The calculation puts the formation energy from raw total energies at 0.6125 eV per atom. The density of states at the Fermi level comes out at 0.645 states/eV per atom.


Entry 8:
Na2HgSO4: optimized geometry, PBE.

The space group is I-4 (No. 82) and the conventional cell measures 6.8851, 6.8851 and 6.0501 Å, with angles of 90.00, 90.00 and 90.00 degrees. The asymmetric unit holds Na at (0.0000, 0.0000, 0.0000), Na at (0.0000, 0.5000, 0.2500), Hg at (0.0000, 0.0000, 0.5000), S at (0.0000, 0.5000, 0.7500) and O at (0.0057, 0.6739, 0.8985).

As for the volume: 287 Å³/cell. As for the total moment: 0.000 μB per atom. The calculation puts the formation energy from raw total energies at -1.4584 eV per atom. The density of states at the Fermi level comes out at 0.000 states/eV per atom.